1.
Material: Sm5PtAu2
Method: DFT, PBE
State: optimized geometry

Output
offset from the most stable computed form	183	meV/atom
density of states at the Fermi level	17.3	states/eV/cell
total magnetization	0.00	μB/cell
DFT formation energy	-0.5290	eV per atom
mass density	9.3	Mg/m³

Unit cell a=6.326 b=6.326 c=14.895 alpha=90.00 beta=90.00 gamma=126.24
Positions (direct):
Sm 0.072 0.928 0.610
Sm 0.072 0.928 0.890
Sm 0.287 0.713 0.250
Sm 0.385 0.615 0.590
Sm 0.385 0.615 0.910
Sm 0.615 0.385 0.090
Sm 0.615 0.385 0.410
Sm 0.713 0.287 0.750
Sm 0.928 0.072 0.110
Sm 0.928 0.072 0.390
Pt 0.245 0.755 0.750
Pt 0.755 0.245 0.250
Au 0.206 0.794 0.060
Au 0.206 0.794 0.440
Au 0.794 0.206 0.560
Au 0.794 0.206 0.940



2.
Material: Sm5Pt2Au
Method: DFT, PBE
State: optimized geometry

Output
density of states at the Fermi level	15.4	states/eV/cell
total magnetization	0.00	μB/cell
DFT formation energy	-0.8316	eV per atom
mass density	10.5	Mg/m³

Unit cell a=8.723 b=8.723 c=8.723 alpha=125.63 beta=125.63 gamma=80.50
Positions (direct):
Sm 0.000 0.000 0.000
Sm 0.023 0.523 0.826
Sm 0.197 0.023 0.500
Sm 0.303 0.803 0.826
Sm 0.477 0.303 0.500
Sm 0.500 0.500 0.000
Sm 0.523 0.697 0.500
Sm 0.697 0.197 0.174
Sm 0.803 0.977 0.500
Sm 0.977 0.477 0.174
Pt 0.133 0.367 0.500
Pt 0.367 0.867 0.234
Pt 0.633 0.133 0.766
Pt 0.867 0.633 0.500
Au 0.250 0.250 0.000
Au 0.750 0.750 0.000



3.
Material: Sm2Pt15Au2
Method: DFT, PBE
State: optimized geometry

Output
density of states at the Fermi level	14.3	states/eV/cell
total magnetization	0.00	μB/cell
DFT formation energy	-0.4199	eV per atom
mass density	17.7	Mg/m³

Unit cell a=7.015 b=7.015 c=7.015 alpha=83.68 beta=83.68 gamma=83.68
Positions (direct):
Sm 0.155 0.155 0.155
Sm 0.845 0.845 0.845
Pt 0.000 0.500 0.500
Pt 0.156 0.156 0.666
Pt 0.156 0.666 0.156
Pt 0.183 0.500 0.817
Pt 0.183 0.817 0.500
Pt 0.334 0.844 0.844
Pt 0.500 0.000 0.500
Pt 0.500 0.183 0.817
Pt 0.500 0.500 0.000
Pt 0.500 0.817 0.183
Pt 0.666 0.156 0.156
Pt 0.817 0.183 0.500
Pt 0.817 0.500 0.183
Pt 0.844 0.334 0.844
Pt 0.844 0.844 0.334
Au 0.395 0.395 0.395
Au 0.605 0.605 0.605



4.
Material: Sm2PtAu
Method: DFT, PBE
State: optimized geometry

Output
density of states at the Fermi level	5.3	states/eV/cell
total magnetization	0.00	μB/cell
DFT formation energy	-1.0238	eV per atom
mass density	11.7	Mg/m³

Unit cell a=5.817 b=4.652 c=7.750 alpha=90.00 beta=110.10 gamma=90.00
Positions (direct):
Sm 0.218 0.250 0.435
Sm 0.232 0.250 0.926
Sm 0.768 0.750 0.074
Sm 0.782 0.750 0.565
Pt 0.327 0.750 0.707
Pt 0.673 0.250 0.293
Au 0.322 0.750 0.207
Au 0.678 0.250 0.793



5.
Material: SmPtAu
Method: DFT, PBE
State: optimized geometry

Output
offset from the most stable computed form	137	meV/atom
density of states at the Fermi level	4.9	states/eV/cell
total magnetization	0.00	μB/cell
DFT formation energy	-0.7854	eV per atom
mass density	14.2	Mg/m³

Unit cell a=5.338 b=5.338 c=7.695 alpha=90.00 beta=90.00 gamma=120.00
Positions (direct):
Sm 0.021 0.510 0.000
Sm 0.490 0.510 0.667
Sm 0.490 0.979 0.333
Pt 0.368 0.184 0.000
Pt 0.816 0.184 0.667
Pt 0.816 0.632 0.333
Au 0.140 0.280 0.333
Au 0.140 0.860 0.667
Au 0.720 0.860 0.000



6.
Material: Sm2PtAu
Method: DFT, PBE
State: optimized geometry

Output
density of states at the Fermi level	3.2	states/eV/cell
total magnetization	0.00	μB/cell
DFT formation energy	-0.9527	eV per atom
mass density	12.1	Mg/m³

Unit cell a=3.611 b=3.611 c=7.286 alpha=90.00 beta=90.00 gamma=90.00
Positions (direct):
Sm 0.000 0.000 0.240
Sm 0.000 0.000 0.760
Pt 0.500 0.500 0.000
Au 0.500 0.500 0.500



7.
Material: Sm3Pt2Au
Method: DFT, PBE
State: optimized geometry

Output
offset from the most stable computed form	24	meV/atom
density of states at the Fermi level	6.4	states/eV/cell
total magnetization	0.00	μB/cell
DFT formation energy	-0.9768	eV per atom
mass density	11.0	Mg/m³

Unit cell a=7.312 b=7.312 c=8.317 alpha=106.52 beta=106.52 gamma=47.98
Positions (direct):
Sm 0.006 0.994 0.750
Sm 0.320 0.323 0.911
Sm 0.323 0.320 0.411
Sm 0.677 0.680 0.589
Sm 0.680 0.677 0.089
Sm 0.994 0.006 0.250
Pt 0.161 0.164 0.581
Pt 0.164 0.161 0.081
Pt 0.836 0.839 0.919
Pt 0.839 0.836 0.419
Au 0.495 0.505 0.250
Au 0.505 0.495 0.750



8.
Material: Sm8Pt5Au
Method: DFT, PBE
State: optimized geometry

Output
density of states at the Fermi level	10.9	states/eV/cell
total magnetization	0.00	μB/cell
DFT formation energy	-0.9523	eV per atom
mass density	11.0	Mg/m³

Unit cell a=7.761 b=7.761 c=7.761 alpha=109.20 beta=109.20 gamma=110.02
Positions (direct):
Sm 0.252 0.496 0.117
Sm 0.376 0.130 0.370
Sm 0.378 0.134 0.883
Sm 0.504 0.622 0.756
Sm 0.760 0.005 0.630
Sm 0.866 0.748 0.244
Sm 0.870 0.240 0.246
Sm 0.995 0.624 0.754
Pt 0.000 0.000 0.000
Pt 0.127 0.250 0.623
Pt 0.496 0.873 0.123
Pt 0.627 0.504 0.377
Pt 0.750 0.373 0.877
Au 0.250 0.750 0.500



9.
Material: Sm4Pt3Au
Method: DFT, PBE
State: optimized geometry

Output
density of states at the Fermi level	5.3	states/eV/cell
total magnetization	0.00	μB/cell
DFT formation energy	-1.1076	eV per atom
mass density	11.9	Mg/m³

Unit cell a=3.841 b=4.626 c=10.839 alpha=90.00 beta=90.00 gamma=90.00
Positions (direct):
Sm 0.000 0.000 0.000
Sm 0.000 0.500 0.268
Sm 0.500 0.000 0.486
Sm 0.500 0.500 0.769
Pt 0.000 0.500 0.543
Pt 0.500 0.000 0.218
Pt 0.500 0.500 0.041
Au 0.000 0.000 0.716



10.
Material: SmPt4Au
Method: DFT, PBE
State: optimized geometry

Output
density of states at the Fermi level	6.2	states/eV/cell
total magnetization	0.00	μB/cell
DFT formation energy	-0.7099	eV per atom
mass density	17.0	Mg/m³

Unit cell a=5.384 b=5.384 c=5.384 alpha=60.00 beta=60.00 gamma=60.00
Positions (direct):
Sm 0.000 0.000 0.000
Pt 0.127 0.624 0.624
Pt 0.624 0.127 0.624
Pt 0.624 0.624 0.127
Pt 0.624 0.624 0.624
Au 0.250 0.250 0.250



11.
Material: Sm3PtAu
Method: DFT, PBE
State: optimized geometry

Output
offset from the most stable computed form	0	meV/atom
density of states at the Fermi level	18.5	states/eV/cell
total magnetization	0.00	μB/cell
DFT formation energy	-0.8147	eV per atom
mass density	10.3	Mg/m³

Unit cell a=7.407 b=4.722 c=15.497 alpha=90.00 beta=90.00 gamma=90.00
Positions (direct):
Sm 0.013 0.250 0.106
Sm 0.132 0.750 0.445
Sm 0.181 0.250 0.725
Sm 0.319 0.750 0.225
Sm 0.368 0.250 0.945
Sm 0.487 0.750 0.606
Sm 0.513 0.250 0.394
Sm 0.632 0.750 0.055
Sm 0.681 0.250 0.775
Sm 0.819 0.750 0.275
Sm 0.868 0.250 0.555
Sm 0.987 0.750 0.894
Pt 0.230 0.750 0.045
Pt 0.270 0.250 0.545
Pt 0.730 0.750 0.455
Pt 0.770 0.250 0.955
Au 0.111 0.250 0.307
Au 0.389 0.750 0.807
Au 0.611 0.250 0.193
Au 0.889 0.750 0.693



12.
Material: Sm3Pt4Au
Method: DFT, PBE
State: optimized geometry

Output
density of states at the Fermi level	3.3	states/eV/cell
total magnetization	0.00	μB/cell
DFT formation energy	-0.9296	eV per atom
mass density	12.5	Mg/m³

Unit cell a=8.083 b=8.083 c=8.083 alpha=151.63 beta=130.50 gamma=58.04
Positions (direct):
Sm 0.000 0.000 0.000
Sm 0.320 0.820 0.500
Sm 0.680 0.180 0.500
Pt 0.068 0.372 0.696
Pt 0.324 0.628 0.696
Pt 0.676 0.372 0.304
Pt 0.932 0.628 0.304
Au 0.500 0.500 0.000



- Number 7 is which compound?
  Sm3Pt2Au



- The lowest DFT formation energy belongs to which entry?
  Sm4Pt3Au